Entry 1:
Th3SnH2: optimized geometry, PBE-GGA.

```
Th3SnH2
1.0
12.633 -1.761 0.000
12.633 1.761 0.000
-1.403 0.000 6.157
Th Sn H
6 2 4
direct
0.030 0.030 0.284
0.239 0.239 0.750
0.394 0.394 0.128
0.606 0.606 0.872
0.761 0.761 0.250
0.970 0.970 0.716
0.355 0.355 0.602
0.645 0.645 0.398
0.060 0.060 0.666
0.300 0.300 0.088
0.700 0.700 0.912
0.940 0.940 0.334
```

Final energy, eV per atom: -5.76
Space-group type: C2/m (12)
Density, g/cm3: 9.90



Entry 2:
ScTa2BiCl: optimized geometry, PBE-GGA.

```
ScTa2BiCl
1.0
4.991 0.000 0.000
0.000 4.991 0.000
0.000 0.000 5.417
Sc Ta Bi Cl
1 2 1 1
direct
0.000 0.000 0.000
0.000 0.500 0.000
0.500 0.000 0.000
0.000 0.000 0.500
0.500 0.500 0.500
```

E_form (uncorrected), eV per atom: 1.62
Space-group type: P4/mmm (123)
Density, g/cm3: 8.01



Entry 3:
CaCuP2: optimized geometry, PBE-GGA.

```
CaCuP2
1.0
0.000 3.269 3.269
3.269 0.000 3.269
3.269 3.269 0.000
Ca Cu P
1 1 2
direct
0.000 0.000 0.000
0.750 0.750 0.750
0.250 0.250 0.250
0.500 0.500 0.500
```

Space-group type: F-43m (216)
Density, g/cm3: 3.94
Formation energy, eV/atom: 0.102